The following is a GGA-PBE calculation of a relaxed MoP2Os crystal, from Alexandria via LeMat-Bulk.

Properties
Energy of formation from the pure elements = -38 meV/atom
E_tot = -33.03 eV per cell
Volume = 13.87 Å³ per atom
ΔE to the lowest computed polymorph = 207 meV/atom
Size of the total moment = 0.000 Bohr magnetons per cell
Space-group type = C2/m, No. 12

Cell lengths 4.0391, 4.0391, 5.1619 Å; angles 78.05, 78.05, 42.51 degrees
Last column: nearest neighbours and their distance in Å.
Element x y z (fractional)
Os  0.2500  0.2500  0.2500  6 P 2.48-2.49
P  0.5012  0.5012  0.4921  3 Os 2.48-2.49, 3 Mo 2.52-2.53
P  0.9988  0.9988  0.0079  3 Os 2.48-2.49, 3 Mo 2.52-2.53
Mo  0.7500  0.7500  0.7500  6 P 2.52-2.53



The following is a GGA-PBE calculation of a relaxed VPHRuS crystal, from Alexandria via LeMat-Bulk.

Properties
E_tot = -65.17 eV per cell
Volume = 13.17 Å³ per atom
ΔE to the lowest computed polymorph = 226 meV/atom
Size of the total moment = 0.600 Bohr magnetons per cell
Space-group type = Amm2, No. 38

Cell lengths 4.5016, 3.9555, 7.3953 Å; angles 90.00, 90.00, 90.00 degrees
Last column: nearest neighbours and their distance in Å.
Element x y z (fractional)
Ru  0.5000  0.5000  0.0202  1 H 1.65
Ru  0.5000  0.0000  0.5202  1 H 1.65
V  0.0000  0.0000  0.9732  3 S 2.32-2.49, 2 P 2.40
V  0.0000  0.5000  0.4732  3 S 2.32-2.49, 2 P 2.40
P  0.5000  0.0000  0.8597  2 H 2.03
P  0.5000  0.5000  0.3597  2 H 2.03
S  0.0000  0.0000  0.6361  3 V 2.32-2.49, 2 Ru 2.41
S  0.0000  0.5000  0.1361  3 V 2.32-2.49, 2 Ru 2.41
H  0.5000  0.0000  0.2973  1 Ru 1.65
H  0.5000  0.5000  0.7973  1 Ru 1.65



The following is a GGA-PBE calculation of a relaxed Al2SbPb2 crystal, from Alexandria via LeMat-Bulk.

Properties
E_tot = -35.14 eV per cell
Volume = 26.95 Å³ per atom
Formation energy without anion corrections = 291 meV per atom
ΔE to the lowest computed polymorph = 112 meV/atom
Size of the total moment = 0.000 Bohr magnetons per cell
Space-group type = P4/mbm, No. 127

Cell lengths 8.9356, 8.9356, 3.3755 Å; angles 90.00, 90.00, 90.00 degrees
Last column: nearest neighbours and their distance in Å.
Element x y z (fractional)
Pb  0.3091  0.8091  0.0000  6 Al 3.06-3.24, 2 Sb 3.25, 2 Pb 3.38
Pb  0.8091  0.6909  0.0000  6 Al 3.06-3.24, 2 Sb 3.25, 2 Pb 3.38
Pb  0.6909  0.1909  0.0000  6 Al 3.06-3.24, 2 Sb 3.25, 2 Pb 3.38
Pb  0.1909  0.3091  0.0000  6 Al 3.06-3.24, 2 Sb 3.25, 2 Pb 3.38
Sb  0.0000  0.0000  0.0000  4 Pb 3.25, 2 Sb 3.38
Sb  0.5000  0.5000  0.0000  4 Pb 3.25, 2 Sb 3.38
Al  0.6073  0.8927  0.5000  1 Al 2.71
Al  0.3927  0.1073  0.5000  1 Al 2.71
Al  0.8927  0.3927  0.5000  1 Al 2.71
Al  0.1073  0.6073  0.5000  1 Al 2.71



The following is a GGA-PBE calculation of a relaxed BaCu2Ru crystal, from Alexandria via LeMat-Bulk.

Properties
Energy of formation from the pure elements = 547 meV/atom
E_tot = -17.20 eV per cell
Volume = 21.24 Å³ per atom
ΔE to the lowest computed polymorph = 347 meV/atom
Size of the total moment = 0.671 Bohr magnetons per cell
Space-group type = P2/m, No. 10

Cell lengths 4.3119, 3.3690, 6.0445 Å; angles 75.34, 90.00, 90.00 degrees
Last column: nearest neighbours and their distance in Å.
Element x y z (fractional)
Ru  0.5000  0.2500  0.2500  4 Cu 2.50
Ba  0.5000  0.7500  0.7500  2 Ru 3.07, 4 Cu 3.34, 2 Ba 3.37
Cu  0.0000  0.4511  0.4011  2 Cu 2.35-2.53, 2 Ru 2.50
Cu  0.0000  0.0489  0.0989  2 Cu 2.35-2.53, 2 Ru 2.50



The following is a GGA-PBE calculation of a relaxed ZrBeW crystal, from Alexandria via LeMat-Bulk.

Properties
Energy of formation from the pure elements = 190 meV/atom
E_tot = -24.66 eV per cell
Volume = 15.60 Å³ per atom
ΔE to the lowest computed polymorph = 1 meV/atom
Size of the total moment = 0.000 Bohr magnetons per cell
Space-group type = I4mm, No. 107

Cell lengths 6.3425, 6.3425, 6.3425 Å; angles 154.63, 154.63, 36.19 degrees
Last column: nearest neighbours and their distance in Å.
Element x y z (fractional)
Be  0.9917  0.9917  0.0000  4 W 2.55, 4 Zr 2.75, 4 Be 2.79
W  0.3577  0.3577  0.0000  4 Be 2.55, 4 W 2.79
Zr  0.6506  0.6506  0.0000  4 Be 2.75, 4 Zr 2.79



The following is a GGA-PBE calculation of a relaxed Ac6Ge2BiTe3 crystal, from Alexandria via LeMat-Bulk.

Properties
E_tot = -62.10 eV per cell
Volume = 37.68 Å³ per atom
Formation energy without anion corrections = -1242 meV per atom
Size of the total moment = 0.000 Bohr magnetons per cell
Space-group type = C2/m, No. 12

Cell lengths 4.7178, 9.5352, 10.6013 Å; angles 103.09, 102.86, 90.00 degrees
Last column: nearest neighbours and their distance in Å.
Element x y z (fractional)
Ge  0.8327  0.6655  0.6653  6 Ac 3.18-3.23
Ge  0.1673  0.3345  0.3347  6 Ac 3.18-3.23
Bi  0.5000  0.0000  0.0000  6 Ac 3.35-3.39
Te  0.1633  0.8340  0.3266  6 Ac 3.39-3.49
Te  0.8367  0.1660  0.6734  6 Ac 3.39-3.49
Te  0.5000  0.5000  0.0000  6 Ac 3.37-3.49
Ac  0.3268  0.4307  0.6537  3 Ge 3.21-3.23, 3 Te 3.49
Ac  0.6732  0.5693  0.3463  3 Ge 3.21-3.23, 3 Te 3.49
Ac  0.3316  0.8935  0.6632  2 Ge 3.21, 3 Te 3.39-3.49, 1 Bi 3.39
Ac  0.9907  0.7462  0.9814  1 Ge 3.18, 2 Bi 3.35, 3 Te 3.37-3.47
Ac  0.0093  0.2538  0.0186  1 Ge 3.18, 2 Bi 3.35, 3 Te 3.37-3.47
Ac  0.6684  0.1065  0.3368  2 Ge 3.21, 3 Te 3.39-3.49, 1 Bi 3.39